Record 1
Compound: TlGa2PbF
Source: Alexandria via LeMat-Bulk
Functional: PBE
Structure: relaxed

The structure in extended XYZ format:
```
5
Lattice="-4.7202 -1.1652 0.0314 0.9581 -3.7896 3.4030 -0.7421 3.1052 3.6669" Properties=species:S:1:pos:R:3 pbc="T T T"
Pb 0.4791 -1.8948 1.7015
F 0.0000 0.0000 0.0000
Ga -2.3601 -0.5826 0.0157
Tl -2.2521 -0.9248 3.5506
Ga -0.3710 1.5526 1.8334
```

Uncorrected formation energy = -0.39 eV per atom
ρ = 7.73 g/cm3


Record 2
Compound: TlGaPbF6
Source: Alexandria via LeMat-Bulk
Functional: PBE
Structure: relaxed

The structure in extended XYZ format:
```
9
Lattice="6.0694 0.0106 0.0029 3.0439 5.2508 -0.0030 0.0024 -0.0043 5.5588" Properties=species:S:1:pos:R:3 pbc="T T T"
F 1.4406 1.7961 1.6843
F 2.2881 0.3395 3.8770
F 4.6386 1.8150 3.8781
F 3.8834 3.1110 1.6831
Pb 6.0734 3.5036 2.7731
Ga 3.0404 1.7526 2.7807
F 2.1862 3.1126 3.8696
Tl 9.1121 5.2551 5.5558
F 3.8010 0.3388 1.6916
```

Uncorrected formation energy = -2.38 eV per atom
ρ = 5.59 g/cm3